# 1
Computed, not measured: a geometry-optimized BaInMo2 structure at the GGA-PBE level of DFT.

Results
E_form   59.1 kJ per mole of atoms
Magnetic moment   0.0 μB per cell
Mass density   8.0 g/cm³
E   -5.968 eV/atom

abc: 3.148 3.148 10.141
angles: 90.00 90.00 112.80
Fractional coordinates of all 4 atoms:
Mo1 0.500 0.500 0.200
In1 0.500 0.500 0.791
Ba1 0.000 0.000 0.484
Mo2 0.000 0.000 0.025


# 2
Computed, not measured: a geometry-optimized BaIn3Mo structure at the GGA-PBE level of DFT.

Results
E_form   208.3 kJ per mole of atoms
Magnetic moment   0.0 μB per cell
Mass density   4.5 g/cm³
E   -2.035 eV/atom

abc: 5.990 5.990 5.990
angles: 90.00 90.00 90.00
Fractional coordinates of all 5 atoms:
In1 0.000 0.000 0.500
In2 0.000 0.500 0.000
In3 0.500 0.000 0.000
Mo1 0.500 0.500 0.500
Ba1 0.000 0.000 0.000